## PrY5Au4 (PBE)

Data for crystalline PrY5Au4 at its relaxed geometry.

CIF file:
```
data_PrY5Au4
_chemical_formula_sum 'Pr1 Y5 Au4'
_cell_length_a 3.588
_cell_length_b 3.588
_cell_length_c 19.895
_cell_angle_alpha 90.00
_cell_angle_beta 90.00
_cell_angle_gamma 90.00
_space_group_name_H-M_alt 'P 4/m m m'
_space_group_IT_number 123
_space_group_name_Hall '-P 4 2'
loop_
_atom_site_label
_atom_site_type_symbol
_atom_site_fract_x
_atom_site_fract_y
_atom_site_fract_z
Pr1 Pr 0.000 0.000 0.000
Y1 Y 0.500 0.500 0.134
Y2 Y 0.500 0.500 0.316
Y3 Y 0.500 0.500 0.500
Au1 Au 0.000 0.000 0.223
Au2 Au 0.000 0.000 0.408
```

Calculated values
* crystal system: tetragonal
* DFT total energy: -57.053 eV per formula unit
* energy of formation from the pure elements: -0.684 eV/atom
* theoretical density: 8.90 g/cm3

## Ag2RhSe (PBE)

Data for crystalline Ag2RhSe at its relaxed geometry.

CIF file:
```
data_Ag2RhSe
_chemical_formula_sum 'Ag2 Rh1 Se1'
_cell_length_a 3.105
_cell_length_b 5.012
_cell_length_c 4.523
_cell_angle_alpha 90.00
_cell_angle_beta 91.16
_cell_angle_gamma 90.00
_space_group_name_H-M_alt 'P 1 2/m 1'
_space_group_IT_number 10
_space_group_name_Hall '-P 2y'
loop_
_atom_site_label
_atom_site_type_symbol
_atom_site_fract_x
_atom_site_fract_y
_atom_site_fract_z
Ag1 Ag 0.241 0.000 0.247
Rh1 Rh 0.500 0.500 0.000
Se1 Se 0.000 0.500 0.500
```

Calculated values
* crystal system: monoclinic
* ΔE_f (raw): 0.204 eV per atom
* DFT total energy: -15.724 eV per formula unit
* theoretical density: 9.38 g/cm3

## USbAu2 (PBE)

Data for crystalline USbAu2 at its relaxed geometry.

CIF file:
```
data_USbAu2
_chemical_formula_sum 'U1 Sb1 Au2'
_cell_length_a 4.436
_cell_length_b 4.436
_cell_length_c 4.571
_cell_angle_alpha 90.00
_cell_angle_beta 90.00
_cell_angle_gamma 90.00
_space_group_name_H-M_alt 'P 4/m m m'
_space_group_IT_number 123
_space_group_name_Hall '-P 4 2'
loop_
_atom_site_label
_atom_site_type_symbol
_atom_site_fract_x
_atom_site_fract_y
_atom_site_fract_z
U1 U 0.000 0.000 0.000
Sb1 Sb 0.500 0.500 0.000
Au1 Au 0.000 0.500 0.500
```

Calculated values
* crystal system: tetragonal
* ΔE_f (raw): -0.132 eV per atom
* DFT total energy: -22.493 eV per formula unit
* theoretical density: 13.91 g/cm3

## SrLaRu2O8 (PBE)

Data for crystalline SrLaRu2O8 at its relaxed geometry.

CIF file:
```
data_SrLaRu2O8
_chemical_formula_sum 'Sr1 La1 Ru2 O8'
_cell_length_a 5.9525
_cell_length_b 5.9525
_cell_length_c 7.4427
_cell_angle_alpha 90.00
_cell_angle_beta 90.00
_cell_angle_gamma 120.00
_space_group_name_H-M_alt 'P -3 m 1'
_space_group_IT_number 164
_space_group_name_Hall '-P 3 2"'
loop_
_atom_site_label
_atom_site_type_symbol
_atom_site_fract_x
_atom_site_fract_y
_atom_site_fract_z
Sr1 Sr 0.0000 0.0000 0.0000
La1 La 0.0000 0.0000 0.5000
Ru1 Ru 0.3333 0.6667 0.8053
O1 O 0.1649 0.3299 0.7260
O2 O 0.3333 0.6667 0.0428
```

Calculated values
* crystal system: trigonal
* ΔE_f (raw): -1.650 eV per atom
* DFT total energy: -84.622 eV per formula unit
* theoretical density: 4.05 g/cm3

## DyTh2Ni9 (PBE)

Data for crystalline DyTh2Ni9 at its relaxed geometry.

CIF file:
```
data_DyTh2Ni9
_chemical_formula_sum 'Dy3 Th6 Ni27'
_cell_length_a 4.9890
_cell_length_b 4.9890
_cell_length_c 24.9768
_cell_angle_alpha 90.00
_cell_angle_beta 90.00
_cell_angle_gamma 120.00
_space_group_name_H-M_alt 'R -3 m'
_space_group_IT_number 166
_space_group_name_Hall '-R 3 2"'
loop_
_atom_site_label
_atom_site_type_symbol
_atom_site_fract_x
_atom_site_fract_y
_atom_site_fract_z
Dy1 Dy 0.0000 0.0000 0.0000
Th1 Th 0.0000 0.0000 0.1358
Ni1 Ni 0.0000 0.0000 0.3331
Ni2 Ni 0.0000 0.0000 0.5000
Ni3 Ni 0.0011 0.5005 0.9190
```

Calculated values
* crystal system: trigonal
* DFT total energy: -76.367 eV per formula unit
* energy of formation from the pure elements: -0.408 eV/atom
* theoretical density: 10.69 g/cm3

## CaCoP2 (PBE)

Data for crystalline CaCoP2 at its relaxed geometry.

CIF file:
```
data_CaCoP2
_chemical_formula_sum 'Ca2 Co2 P4'
_cell_length_a 3.962
_cell_length_b 5.763
_cell_length_c 6.192
_cell_angle_alpha 90.00
_cell_angle_beta 90.00
_cell_angle_gamma 90.00
_space_group_name_H-M_alt 'C m m m'
_space_group_IT_number 65
_space_group_name_Hall '-C 2 2'
loop_
_atom_site_label
_atom_site_type_symbol
_atom_site_fract_x
_atom_site_fract_y
_atom_site_fract_z
Ca1 Ca 0.000 0.000 0.000
Co1 Co 0.000 0.000 0.500
P1 P 0.000 0.500 0.318
```

Calculated values
* crystal system: orthorhombic
* DFT total energy: -21.076 eV per formula unit
* energy of formation from the pure elements: -0.287 eV/atom
* theoretical density: 3.78 g/cm3

## Ce2TlCd5 (PBE)

Data for crystalline Ce2TlCd5 at its relaxed geometry.

CIF file:
```
data_Ce2TlCd5
_chemical_formula_sum 'Ce8 Tl4 Cd20'
_cell_length_a 4.748
_cell_length_b 17.811
_cell_length_c 9.964
_cell_angle_alpha 90.00
_cell_angle_beta 90.00
_cell_angle_gamma 90.00
_space_group_name_H-M_alt 'C m c m'
_space_group_IT_number 63
_space_group_name_Hall '-C 2c 2'
loop_
_atom_site_label
_atom_site_type_symbol
_atom_site_fract_x
_atom_site_fract_y
_atom_site_fract_z
Ce1 Ce 0.000 0.000 0.000
Ce2 Ce 0.000 0.197 0.250
Tl1 Tl 0.000 0.453 0.750
Cd1 Cd 0.000 0.192 0.605
Cd2 Cd 0.000 0.352 0.529
Cd3 Cd 0.000 0.390 0.250
```

Calculated values
* crystal system: orthorhombic
* DFT total energy: -20.047 eV per formula unit
* energy of formation from the pure elements: -0.155 eV/atom
* theoretical density: 8.25 g/cm3

## SrSeCl2 (PBE)

Data for crystalline SrSeCl2 at its relaxed geometry.

CIF file:
```
data_SrSeCl2
_chemical_formula_sum 'Sr3 Se3 Cl6'
_cell_length_a 4.3425
_cell_length_b 4.3425
_cell_length_c 30.3111
_cell_angle_alpha 90.00
_cell_angle_beta 90.00
_cell_angle_gamma 120.00
_space_group_name_H-M_alt 'R -3 m'
_space_group_IT_number 166
_space_group_name_Hall '-R 3 2"'
loop_
_atom_site_label
_atom_site_type_symbol
_atom_site_fract_x
_atom_site_fract_y
_atom_site_fract_z
Sr1 Sr 0.0000 0.0000 0.0000
Se1 Se 0.0000 0.0000 0.5000
Cl1 Cl 0.0000 0.0000 0.3814
```

Calculated values
* crystal system: trigonal
* ΔE_f (raw): -1.261 eV per atom
* DFT total energy: -13.903 eV per formula unit
* theoretical density: 2.39 g/cm3

Calculated M_tot in order - 0.000 0.000 0.658 0.251 0.000 0.354 0.243 0.500 μB/atom